[1]
This record from Alexandria via LeMat-Bulk describes crystalline Cd2IrW at its relaxed geometry. The functional is PBE-GGA.

The structure belongs to space group P2/m (No. 10); the cell edges are 4.897, 2.888 and 5.123 Å and the angles 90.00°, 106.29° and 90.00°. Symmetry generates all atoms from Cd at (0.000, 0.000, 0.000), Cd at (0.500, 0.500, 0.000), Ir at (0.000, 0.500, 0.500) and W at (0.500, 0.000, 0.500).

Its distance to the lowest polymorph of the same formula is 349 meV per atom. The formation energy comes out at 426.1 meV per atom.

[2]
This record from Alexandria via LeMat-Bulk describes crystalline Tb3Pr2Tm7 at its relaxed geometry. The functional is PBE-GGA.

The structure belongs to space group Cmmm (No. 65); the cell edges are 5.643, 37.707 and 3.600 Å and the angles 90.00°, 90.00° and 90.00°. Symmetry generates all atoms from Tb at (0.000, 0.000, 0.000), Tb at (0.000, 0.187, 0.000), Pr at (0.000, 0.354, 0.500), Tm at (0.000, 0.088, 0.500), Tm at (0.000, 0.270, 0.500), Tm at (0.000, 0.430, 0.000) and Tm at (0.000, 0.500, 0.500).

Its distance to the lowest polymorph of the same formula is 26 meV per atom. The formation energy comes out at 114.9 meV per atom.

[3]
This record from Alexandria via LeMat-Bulk describes crystalline MgZr3Tl at its relaxed geometry. The functional is PBE-GGA.

The structure belongs to space group C2/c (No. 15); the cell edges are 12.960, 8.987 and 10.101 Å and the angles 90.00°, 127.68° and 90.00°. Symmetry generates all atoms from Mg at (0.135, 0.199, 0.303), Zr at (0.093, 0.348, 0.579), Zr at (0.174, 0.011, 0.598), Zr at (0.205, 0.339, 0.070), Tl at (0.000, 0.130, 0.750) and Tl at (0.000, 0.487, 0.250).

Its distance to the lowest polymorph of the same formula is 0 meV per atom. The formation energy comes out at 77.4 meV per atom.

[4]
This record from Alexandria via LeMat-Bulk describes crystalline SrBeI2 at its relaxed geometry. The functional is PBE-GGA.

The structure belongs to space group I-42d (No. 122); the cell edges are 6.003, 6.003 and 19.597 Å and the angles 90.00°, 90.00° and 90.00°. Symmetry generates all atoms from Sr at (0.000, 0.000, 0.000), Be at (0.000, 0.000, 0.500) and I at (0.247, 0.250, 0.625).

Its distance to the lowest polymorph of the same formula is 163 meV per atom. The calculation puts the uncorrected formation energy at -0.776 eV/f.u.

[5]
This record from Alexandria via LeMat-Bulk describes crystalline Al6TlGa12 at its relaxed geometry. The functional is PBE-GGA.

The structure belongs to space group R-3m (No. 166, hexagonal axes); the cell edges are 11.9760, 11.9760 and 8.9834 Å and the angles 90.00°, 90.00° and 120.00°. Symmetry generates all atoms from Al at (0.0620, 0.5310, 0.2337), Tl at (0.0000, 0.0000, 0.0000), Ga at (0.0000, 0.3898, 0.5000) and Ga at (0.0834, 0.1668, 0.2870).

The formation energy comes out at 55.4 meV per atom.

[6]
This record from Alexandria via LeMat-Bulk describes crystalline Ce4Nd11Tm9 at its relaxed geometry. The functional is PBE-GGA.

The structure belongs to space group Cmmm (No. 65); the cell edges are 16.907, 25.285 and 3.662 Å and the angles 90.00°, 90.00° and 90.00°. Symmetry generates all atoms from Ce at (0.152, 0.099, 0.000), Nd at (0.000, 0.135, 0.500), Nd at (0.000, 0.342, 0.500), Nd at (0.000, 0.500, 0.500), Nd at (0.208, 0.000, 0.500), Nd at (0.230, 0.320, 0.500), Tm at (0.000, 0.000, 0.000), Tm at (0.101, 0.237, 0.000) and Tm at (0.141, 0.428, 0.000).

The formation energy comes out at 97.1 meV per atom.

[7]
This record from Alexandria via LeMat-Bulk describes crystalline SrCa2Cr at its relaxed geometry. The functional is PBE-GGA.

The structure belongs to space group I4/mmm (No. 139); the cell edges are 5.216, 5.216 and 10.542 Å and the angles 90.00°, 90.00° and 90.00°. Symmetry generates all atoms from Sr at (0.000, 0.000, 0.000), Ca at (0.000, 0.500, 0.250) and Cr at (0.000, 0.000, 0.500).

Its distance to the lowest polymorph of the same formula is 76 meV per atom. The formation energy comes out at 440.6 meV per atom.

[8]
This record from Alexandria via LeMat-Bulk describes crystalline SmY6Zn at its relaxed geometry. The functional is PBE-GGA.

The structure belongs to space group R-3 (No. 148, hexagonal axes); the cell edges are 9.3871, 9.3871 and 9.7100 Å and the angles 90.00°, 90.00° and 120.00°. Symmetry generates all atoms from Sm at (0.0000, 0.0000, 0.0000), Y at (0.0312, 0.2499, 0.7031) and Zn at (0.0000, 0.0000, 0.5000).

The formation energy comes out at 32.1 meV per atom.

[9]
This record from Alexandria via LeMat-Bulk describes crystalline Ac2TbPrSm5 at its relaxed geometry. The functional is PBE-GGA.

The structure belongs to space group Cmc2_1 (No. 36); the cell edges are 5.855, 20.508 and 10.993 Å and the angles 90.00°, 90.00° and 90.00°. Symmetry generates all atoms from Ac at (0.000, 0.114, 0.000), Ac at (0.000, 0.117, 0.589), Tb at (0.000, 0.206, 0.280), Pr at (0.000, 0.413, 0.732), Sm at (0.000, 0.019, 0.293), Sm at (0.000, 0.283, 0.581), Sm at (0.000, 0.297, 0.975), Sm at (0.000, 0.389, 0.290) and Sm at (0.000, 0.482, 0.010).

The formation energy comes out at 142.9 meV per atom.

[10]
This record from Alexandria via LeMat-Bulk describes crystalline AcIn2GePt2 at its relaxed geometry. The functional is PBE-GGA.

The structure belongs to space group I4/mmm (No. 139); the cell edges are 4.604, 4.604 and 15.089 Å and the angles 90.00°, 90.00° and 90.00°. Symmetry generates all atoms from Ac at (0.000, 0.000, 0.000), In at (0.000, 0.500, 0.250), Ge at (0.000, 0.000, 0.500) and Pt at (0.000, 0.000, 0.345).

The formation energy comes out at -531.3 meV per atom.

[11]
This record from Alexandria via LeMat-Bulk describes crystalline Ta6Nb6W at its relaxed geometry. The functional is PBE-GGA.

The structure belongs to space group P6/mmm (No. 191); the cell edges are 5.2477, 5.2477 and 10.3863 Å and the angles 90.00°, 90.00° and 120.00°. Symmetry generates all atoms from Ta at (0.0000, 0.0000, 0.1249), Ta at (0.3333, 0.6667, 0.0000), Ta at (0.3333, 0.6667, 0.5000), Nb at (0.0000, 0.5000, 0.2560) and W at (0.0000, 0.0000, 0.5000).

The formation energy comes out at 437.1 meV per atom.

[12]
This record from Alexandria via LeMat-Bulk describes crystalline La6DyZn2 at its relaxed geometry. The functional is PBE-GGA.

The structure belongs to space group C2/m (No. 12); the cell edges are 13.021, 3.790 and 12.208 Å and the angles 90.00°, 109.29° and 90.00°. Symmetry generates all atoms from La at (0.029, 0.000, 0.326), La at (0.187, 0.500, 0.876), La at (0.192, 0.500, 0.596), Dy at (0.000, 0.000, 0.000) and Zn at (0.141, 0.500, 0.188).

The formation energy comes out at -137.6 meV per atom.

[13]
This record from Alexandria via LeMat-Bulk describes crystalline NdThPb2 at its relaxed geometry. The functional is PBE-GGA.

The structure belongs to space group P4/mmm (No. 123); the cell edges are 3.619, 3.619 and 9.198 Å and the angles 90.00°, 90.00° and 90.00°. Symmetry generates all atoms from Nd at (0.000, 0.000, 0.000), Th at (0.000, 0.000, 0.500) and Pb at (0.500, 0.500, 0.248).

Its distance to the lowest polymorph of the same formula is 15 meV per atom. The formation energy comes out at -400.7 meV per atom.

[14]
This record from Alexandria via LeMat-Bulk describes crystalline La4Pr2Y7 at its relaxed geometry. The functional is PBE-GGA.

The structure belongs to space group P-1 (No. 2); the cell edges are 6.573, 6.669 and 11.609 Å and the angles 91.09°, 100.59° and 114.40°. Symmetry generates all atoms from La at (0.131, 0.134, 0.369), La at (0.265, 0.703, 0.465), Pr at (0.446, 0.708, 0.010), Y at (0.000, 0.000, 0.000), Y at (0.057, 0.527, 0.170), Y at (0.357, 0.398, 0.698) and Y at (0.456, 0.937, 0.756).

The formation energy comes out at 137.2 meV per atom.

[15]
This record from Alexandria via LeMat-Bulk describes crystalline AcZnGaSn at its relaxed geometry. The functional is PBE-GGA.

The structure belongs to space group F-43m (No. 216); the cell edges are 7.403, 7.403 and 7.403 Å and the angles 90.00°, 90.00° and 90.00°. Symmetry generates all atoms from Ac at (0.000, 0.000, 0.000), Zn at (0.250, 0.250, 0.750), Ga at (0.250, 0.250, 0.250) and Sn at (0.000, 0.000, 0.500).

The formation energy comes out at -305.7 meV per atom.

[16]
This record from Alexandria via LeMat-Bulk describes crystalline PmEr14Zr at its relaxed geometry. The functional is PBE-GGA.

The structure belongs to space group P4/mmm (No. 123); the cell edges are 6.994, 6.994 and 9.837 Å and the angles 90.00°, 90.00° and 90.00°. Symmetry generates all atoms from Pm at (0.000, 0.000, 0.000), Er at (0.000, 0.000, 0.500), Er at (0.000, 0.500, 0.000), Er at (0.000, 0.500, 0.500), Er at (0.255, 0.255, 0.246), Er at (0.500, 0.500, 0.500) and Zr at (0.500, 0.500, 0.000).

The formation energy comes out at 36.4 meV per atom.

[17]
This record from Alexandria via LeMat-Bulk describes crystalline VZn2Fe at its relaxed geometry. The functional is PBE-GGA.

The structure belongs to space group C2/m (No. 12); the cell edges are 5.372, 5.374 and 7.673 Å and the angles 90.00°, 110.49° and 90.00°. Symmetry generates all atoms from V at (0.147, 0.000, 0.293), Zn at (0.132, 0.500, 0.263), Zn at (0.250, 0.250, 0.000) and Fe at (0.000, 0.251, 0.500).

Its distance to the lowest polymorph of the same formula is 0 meV per atom. The formation energy comes out at -44.7 meV per atom.

[18]
This record from Alexandria via LeMat-Bulk describes crystalline YNi2Pt at its relaxed geometry. The functional is PBE-GGA.

The structure belongs to space group I-42d (No. 122); the cell edges are 4.147, 4.147 and 17.642 Å and the angles 90.00°, 90.00° and 90.00°. Symmetry generates all atoms from Y at (0.000, 0.000, 0.000), Ni at (0.107, 0.250, 0.625) and Pt at (0.000, 0.000, 0.500).

The formation energy comes out at -259.6 meV per atom.

[19]
This record from Alexandria via LeMat-Bulk describes crystalline PrThNiPt at its relaxed geometry. The functional is PBE-GGA.

The structure belongs to space group F-43m (No. 216); the cell edges are 7.161, 7.161 and 7.161 Å and the angles 90.00°, 90.00° and 90.00°. Symmetry generates all atoms from Pr at (0.000, 0.000, 0.000), Th at (0.000, 0.000, 0.500), Ni at (0.250, 0.250, 0.750) and Pt at (0.250, 0.250, 0.250).

Its distance to the lowest polymorph of the same formula is 159 meV per atom. The formation energy comes out at -600.7 meV per atom.

[20]
This record from Alexandria via LeMat-Bulk describes crystalline Nd2Tm4Al at its relaxed geometry. The functional is PBE-GGA.

The structure belongs to space group R-3m (No. 166, hexagonal axes); the cell edges are 3.5821, 3.5821 and 57.0931 Å and the angles 90.00°, 90.00° and 120.00°. Symmetry generates all atoms from Nd at (0.0000, 0.0000, 0.1946), Tm at (0.0000, 0.0000, 0.0885), Tm at (0.0000, 0.0000, 0.2944) and Al at (0.0000, 0.0000, 0.0000).

The formation energy comes out at -30.2 meV per atom.

no.,spin magnetization (μB per formula unit)
1,0.00
2,0.00
3,0.00
4,0.00
5,0.00
6,3.87
7,4.47
8,0.00
9,0.00
10,0.00
11,0.00
12,0.00
13,0.00
14,0.00
15,0.00
16,0.00
17,0.00
18,0.77
19,0.00
20,0.20